one | DFT (PBE) results for an optimized crystal structure of BeBMoW2.

Results
Its space-group type is P4/mmm, No. 123. As for the calculated volume: 18.1 A^3/atom.

abc: 4.7259 4.7259 4.0520
angles: 90.00 90.00 90.00
Fractional positions:
Be 0.0000 0.0000 0.0000
B 0.5000 0.5000 0.0000
Mo 0.0000 0.0000 0.5000
W 0.0000 0.5000 0.5000
W 0.5000 0.0000 0.5000

---

two | DFT (PBE) results for an optimized crystal structure of BeBMoW2.

Results
Its space-group type is P4/mmm, No. 123. As for the calculated volume: 14.3 A^3/atom.

abc: 4.1571 4.1571 4.1394
angles: 90.00 90.00 90.00
Fractional positions:
Be 0.0000 0.0000 0.0000
B 0.5000 0.5000 0.5000
Mo 0.5000 0.5000 0.0000
W 0.0000 0.5000 0.5000
W 0.5000 0.0000 0.5000

---

Energy ordering: two at the bottom, the next structure 2101 meV/atom above.

---

one | DFT (PBE) results for an optimized crystal structure of Be3BN.

Results
Its space-group type is Pm-3m, No. 221. As for the calculated volume: 8.9 A^3/atom.

abc: 3.5380 3.5380 3.5380
angles: 90.00 90.00 90.00
Fractional positions:
Be 0.0000 0.0000 0.5000
Be 0.0000 0.5000 0.0000
Be 0.5000 0.0000 0.0000
B 0.0000 0.0000 0.0000
N 0.5000 0.5000 0.5000

---

two | DFT (PBE) results for an optimized crystal structure of Be3BN.

Results
Its space-group type is Pm-3m, No. 221. As for the calculated volume: 7.7 A^3/atom.

abc: 3.3742 3.3742 3.3742
angles: 90.00 90.00 90.00
Fractional positions:
Be 0.0000 0.0000 0.5000
Be 0.0000 0.5000 0.0000
Be 0.5000 0.0000 0.0000
B 0.5000 0.5000 0.5000
N 0.0000 0.0000 0.0000

---

Energy ordering: two at the bottom, the next structure 704 meV/atom above.

---

one | DFT (PBE) results for an optimized crystal structure of BeB2N.

Results
Its space-group type is Fm-3m, No. 225. As for the calculated volume: 7.3 A^3/atom.

abc: 4.8913 4.8913 4.8913
angles: 90.00 90.00 90.00
Fractional positions:
Be 0.0000 0.0000 0.0000
Be 0.0000 0.5000 0.5000
Be 0.5000 0.0000 0.5000
Be 0.5000 0.5000 0.0000
B 0.2500 0.2500 0.2500
B 0.2500 0.2500 0.7500
B 0.2500 0.7500 0.2500
B 0.2500 0.7500 0.7500
B 0.7500 0.2500 0.2500
B 0.7500 0.2500 0.7500
B 0.7500 0.7500 0.2500
B 0.7500 0.7500 0.7500
N 0.0000 0.0000 0.5000
N 0.0000 0.5000 0.0000
N 0.5000 0.0000 0.0000
N 0.5000 0.5000 0.5000

---

two | DFT (PBE) results for an optimized crystal structure of BeB2N.

Results
Its space-group type is I-42d, No. 122. As for the calculated volume: 7.8 A^3/atom.

abc: 4.2594 4.2594 6.9115
angles: 90.00 90.00 90.00
Fractional positions:
Be 0.0000 0.0000 0.0000
Be 0.0000 0.5000 0.2500
Be 0.5000 0.0000 0.7500
Be 0.5000 0.5000 0.5000
B 0.1759 0.2500 0.6250
B 0.2500 0.6759 0.8750
B 0.2500 0.8241 0.3750
B 0.3241 0.2500 0.1250
B 0.6759 0.7500 0.1250
B 0.7500 0.1759 0.3750
B 0.7500 0.3241 0.8750
B 0.8241 0.7500 0.6250
N 0.0000 0.0000 0.5000
N 0.0000 0.5000 0.7500
N 0.5000 0.0000 0.2500
N 0.5000 0.5000 0.0000

---

Energy ordering: two at the bottom, the next structure 1803 meV/atom above.

---

one | DFT (PBE) results for an optimized crystal structure of BeBS2N.

Results
Its space-group type is P4/mmm, No. 123. As for the calculated volume: 13.2 A^3/atom.

abc: 4.9832 4.9832 2.6535
angles: 90.00 90.00 90.00
Fractional positions:
Be 0.0000 0.0000 0.0000
B 0.5000 0.5000 0.5000
S 0.0000 0.5000 0.5000
S 0.5000 0.0000 0.5000
N 0.5000 0.5000 0.0000

---

two | DFT (PBE) results for an optimized crystal structure of BeBS2N.

Results
Its space-group type is P4/mmm, No. 123. As for the calculated volume: 12.6 A^3/atom.

abc: 4.5328 4.5328 3.0645
angles: 90.00 90.00 90.00
Fractional positions:
Be 0.0000 0.0000 0.0000
B 0.5000 0.5000 0.5000
S 0.0000 0.5000 0.0000
S 0.5000 0.0000 0.0000
N 0.0000 0.0000 0.5000

---

Energy ordering: one at the bottom, the next structure 797 meV/atom above.

---

one | DFT (PBE) results for an optimized crystal structure of BeBSN2.

Results
Its space-group type is P4/mmm, No. 123. As for the calculated volume: 14.0 A^3/atom.

abc: 3.0389 3.0389 7.5936
angles: 90.00 90.00 90.00
Fractional positions:
Be 0.0000 0.0000 0.0000
B 0.5000 0.5000 0.5000
S 0.5000 0.5000 0.0000
N 0.0000 0.5000 0.5000
N 0.5000 0.0000 0.5000

---

two | DFT (PBE) results for an optimized crystal structure of BeBSN2.

Results
Its space-group type is P4/mmm, No. 123. As for the calculated volume: 13.1 A^3/atom.

abc: 3.0667 3.0667 6.9579
angles: 90.00 90.00 90.00
Fractional positions:
Be 0.0000 0.0000 0.0000
B 0.5000 0.5000 0.5000
S 0.0000 0.0000 0.5000
N 0.0000 0.5000 0.0000
N 0.5000 0.0000 0.0000

---

Energy ordering: one at the bottom, the next structure 678 meV/atom above.

---

one | DFT (PBE) results for an optimized crystal structure of BeBSe2N.

Results
Its space-group type is P4/mmm, No. 123. As for the calculated volume: 18.2 A^3/atom.

abc: 5.9454 5.9454 2.5739
angles: 90.00 90.00 90.00
Fractional positions:
Be 0.0000 0.0000 0.0000
B 0.5000 0.5000 0.5000
Se 0.0000 0.5000 0.5000
Se 0.5000 0.0000 0.5000
N 0.5000 0.5000 0.0000

---

two | DFT (PBE) results for an optimized crystal structure of BeBSe2N.

Results
Its space-group type is P4/mmm, No. 123. As for the calculated volume: 14.8 A^3/atom.

abc: 4.9776 4.9776 2.9843
angles: 90.00 90.00 90.00
Fractional positions:
Be 0.0000 0.0000 0.0000
B 0.5000 0.5000 0.5000
Se 0.0000 0.5000 0.0000
Se 0.5000 0.0000 0.0000
N 0.0000 0.0000 0.5000

---

Energy ordering: one at the bottom, the next structure 720 meV/atom above.

---

one | DFT (PBE) results for an optimized crystal structure of BeBSeN2.

Results
Its space-group type is P4/mmm, No. 123. As for the calculated volume: 14.6 A^3/atom.

abc: 3.1089 3.1089 7.5761
angles: 90.00 90.00 90.00
Fractional positions:
Be 0.0000 0.0000 0.0000
B 0.5000 0.5000 0.5000
Se 0.5000 0.5000 0.0000
N 0.0000 0.5000 0.5000
N 0.5000 0.0000 0.5000

---

two | DFT (PBE) results for an optimized crystal structure of BeBSeN2.

Results
Its space-group type is P4/mmm, No. 123. As for the calculated volume: 14.0 A^3/atom.

abc: 3.1494 3.1494 7.0751
angles: 90.00 90.00 90.00
Fractional positions:
Be 0.0000 0.0000 0.0000
B 0.5000 0.5000 0.5000
Se 0.0000 0.0000 0.5000
N 0.0000 0.5000 0.0000
N 0.5000 0.0000 0.0000

---

Energy ordering: one at the bottom, the next structure 527 meV/atom above.

---

one | DFT (PBE) results for an optimized crystal structure of NaBe3B.

Results
Its space-group type is Pm-3m, No. 221. As for the calculated volume: 10.8 A^3/atom.

abc: 3.7792 3.7792 3.7792
angles: 90.00 90.00 90.00
Fractional positions:
Na 0.0000 0.0000 0.0000
Be 0.0000 0.5000 0.5000
Be 0.5000 0.0000 0.5000
Be 0.5000 0.5000 0.0000
B 0.5000 0.5000 0.5000

---

two | DFT (PBE) results for an optimized crystal structure of NaBe3B.

Results
Its space-group type is Pm-3m, No. 221. As for the calculated volume: 16.8 A^3/atom.

abc: 4.3810 4.3810 4.3810
angles: 90.00 90.00 90.00
Fractional positions:
Na 0.0000 0.0000 0.0000
Be 0.0000 0.0000 0.5000
Be 0.0000 0.5000 0.0000
Be 0.5000 0.0000 0.0000
B 0.5000 0.5000 0.5000

---

Energy ordering: one at the bottom, the next structure 2217 meV/atom above.

---

one | DFT (PBE) results for an optimized crystal structure of BeNb2B.

Results
Its space-group type is Fm-3m, No. 225. As for the calculated volume: 12.7 A^3/atom.

abc: 5.8769 5.8769 5.8769
angles: 90.00 90.00 90.00
Fractional positions:
Be 0.0000 0.0000 0.0000
Be 0.0000 0.5000 0.5000
Be 0.5000 0.0000 0.5000
Be 0.5000 0.5000 0.0000
Nb 0.2500 0.2500 0.2500
Nb 0.2500 0.2500 0.7500
Nb 0.2500 0.7500 0.2500
Nb 0.2500 0.7500 0.7500
Nb 0.7500 0.2500 0.2500
Nb 0.7500 0.2500 0.7500
Nb 0.7500 0.7500 0.2500
Nb 0.7500 0.7500 0.7500
B 0.0000 0.0000 0.5000
B 0.0000 0.5000 0.0000
B 0.5000 0.0000 0.0000
B 0.5000 0.5000 0.5000

---

two | DFT (PBE) results for an optimized crystal structure of BeNb2B.

Results
Its space-group type is P2_1/m, No. 11. As for the calculated volume: 12.4 A^3/atom.

abc: 4.7933 3.2885 6.7122
angles: 90.00 110.56 90.00
Fractional positions:
Be 0.1269 0.2500 0.2793
Be 0.8731 0.7500 0.7207
Nb 0.2871 0.7500 0.5783
Nb 0.2969 0.7500 0.0685
Nb 0.7031 0.2500 0.9315
Nb 0.7129 0.2500 0.4217
B 0.1278 0.2500 0.7834
B 0.8722 0.7500 0.2166

---

three | DFT (PBE) results for an optimized crystal structure of BeNb2B.

Results
Its space-group type is I-42d, No. 122. As for the calculated volume: 13.6 A^3/atom.

abc: 6.3421 6.3421 5.4008
angles: 90.00 90.00 90.00
Fractional positions:
Be 0.0000 0.0000 0.0000
Be 0.0000 0.5000 0.2500
Be 0.5000 0.0000 0.7500
Be 0.5000 0.5000 0.5000
Nb 0.2323 0.2500 0.6250
Nb 0.2500 0.7323 0.8750
Nb 0.2500 0.7677 0.3750
Nb 0.2677 0.2500 0.1250
Nb 0.7323 0.7500 0.1250
Nb 0.7500 0.2323 0.3750
Nb 0.7500 0.2677 0.8750
Nb 0.7677 0.7500 0.6250
B 0.0000 0.0000 0.5000
B 0.0000 0.5000 0.7500
B 0.5000 0.0000 0.2500
B 0.5000 0.5000 0.0000

---

Energy ordering: two at the bottom, the next structure 669 meV/atom above.

---

one | DFT (PBE) results for an optimized crystal structure of BeNbB.

Results
Its space-group type is I4mm, No. 107. As for the calculated volume: 11.6 A^3/atom.

abc: 3.2862 3.2862 6.4227
angles: 90.00 90.00 90.00
Fractional positions:
Be 0.0000 0.0000 0.0000
Be 0.5000 0.5000 0.5000
Nb 0.0000 0.0000 0.3648
Nb 0.5000 0.5000 0.8648
B 0.0000 0.0000 0.7164
B 0.5000 0.5000 0.2164

---

two | DFT (PBE) results for an optimized crystal structure of BeNbB.

Results
Its space-group type is Imma, No. 74. As for the calculated volume: 10.3 A^3/atom.

abc: 3.1534 3.3916 11.5147
angles: 90.00 90.00 90.00
Fractional positions:
Be 0.0000 0.2500 0.0454
Be 0.0000 0.7500 0.9546
Be 0.5000 0.2500 0.4546
Be 0.5000 0.7500 0.5454
Nb 0.0000 0.2500 0.6337
Nb 0.0000 0.7500 0.3663
Nb 0.5000 0.2500 0.8663
Nb 0.5000 0.7500 0.1337
B 0.0000 0.2500 0.2112
B 0.0000 0.7500 0.7888
B 0.5000 0.2500 0.2888
B 0.5000 0.7500 0.7112

---

Energy ordering: two at the bottom, the next structure 998 meV/atom above.

---

one | DFT (PBE) results for an optimized crystal structure of BeNi2B.

Results
Its space-group type is Fm-3m, No. 225. As for the calculated volume: 8.3 A^3/atom.

abc: 5.1103 5.1103 5.1103
angles: 90.00 90.00 90.00
Fractional positions:
Be 0.0000 0.0000 0.0000
Be 0.0000 0.5000 0.5000
Be 0.5000 0.0000 0.5000
Be 0.5000 0.5000 0.0000
Ni 0.2500 0.2500 0.2500
Ni 0.2500 0.2500 0.7500
Ni 0.2500 0.7500 0.2500
Ni 0.2500 0.7500 0.7500
Ni 0.7500 0.2500 0.2500
Ni 0.7500 0.2500 0.7500
Ni 0.7500 0.7500 0.2500
Ni 0.7500 0.7500 0.7500
B 0.0000 0.0000 0.5000
B 0.0000 0.5000 0.0000
B 0.5000 0.0000 0.0000
B 0.5000 0.5000 0.5000

---

two | DFT (PBE) results for an optimized crystal structure of BeNi2B.

Results
Its space-group type is I-42d, No. 122. As for the calculated volume: 9.6 A^3/atom.

abc: 5.7508 5.7508 4.6281
angles: 90.00 90.00 90.00
Fractional positions:
Be 0.0000 0.0000 0.0000
Be 0.0000 0.5000 0.2500
Be 0.5000 0.0000 0.7500
Be 0.5000 0.5000 0.5000
Ni 0.1911 0.2500 0.6250
Ni 0.2500 0.6911 0.8750
Ni 0.2500 0.8089 0.3750
Ni 0.3089 0.2500 0.1250
Ni 0.6911 0.7500 0.1250
Ni 0.7500 0.1911 0.3750
Ni 0.7500 0.3089 0.8750
Ni 0.8089 0.7500 0.6250
B 0.0000 0.0000 0.5000
B 0.0000 0.5000 0.7500
B 0.5000 0.0000 0.2500
B 0.5000 0.5000 0.0000

---

Energy ordering: one at the bottom, the next structure 289 meV/atom above.

---

one | DFT (PBE) results for an optimized crystal structure of Be2Ni4B.

Results
Its space-group type is I4/mmm, No. 139. As for the calculated volume: 10.6 A^3/atom.

abc: 3.6690 3.6690 10.9836
angles: 90.00 90.00 90.00
Fractional positions:
Be 0.0000 0.0000 0.1246
Be 0.0000 0.0000 0.8754
Be 0.5000 0.5000 0.3754
Be 0.5000 0.5000 0.6246
Ni 0.0000 0.0000 0.3210
Ni 0.0000 0.0000 0.6790
Ni 0.0000 0.5000 0.0000
Ni 0.0000 0.5000 0.5000
Ni 0.5000 0.0000 0.0000
Ni 0.5000 0.0000 0.5000
Ni 0.5000 0.5000 0.1790
Ni 0.5000 0.5000 0.8210
B 0.0000 0.0000 0.5000
B 0.5000 0.5000 0.0000

---

two | DFT (PBE) results for an optimized crystal structure of Be2Ni4B.

Results
Its space-group type is R-3m, No. 166. As for the calculated volume: 9.3 A^3/atom.

abc: 6.2089 6.2089 6.2089
angles: 33.54 33.54 33.54
Fractional positions:
Be 0.2479 0.2479 0.2479
Be 0.7521 0.7521 0.7521
Ni 0.1235 0.1235 0.1235
Ni 0.3727 0.3727 0.3727
Ni 0.6273 0.6273 0.6273
Ni 0.8765 0.8765 0.8765
B 0.0000 0.0000 0.0000

---

Energy ordering: two at the bottom, the next structure 266 meV/atom above.